No. 1
VASP calculation (GGA-PBEsol) on a geometry-optimized Be3CuSe structure. Values from VASP.

Output
The total magnetization is 0.0 Bohr magnetons per cell. The crystal system is cubic. For the formation energy without anion corrections, the calculation gives 0.686 eV/atom. As for the space group: Pm-3m, No. 221.

Geometry as Quantum ESPRESSO input:
```
&SYSTEM
  ibrav = 0, nat = 5, ntyp = 3
/
ATOMIC_SPECIES
Be 9.01 Be.upf
Se 78.96 Se.upf
Cu 63.55 Cu.upf
CELL_PARAMETERS angstrom
4.090 0.000 0.000
0.000 4.090 0.000
0.000 0.000 4.090
ATOMIC_POSITIONS angstrom
Be 0.000 2.045 0.000
Be 2.045 0.000 0.000
Be 0.000 0.000 2.045
Se 2.045 2.045 2.045
Cu 0.000 0.000 0.000
```

---

No. 2
VASP calculation (GGA-PBEsol) on a geometry-optimized YBeCuSe2 structure. Values from VASP.

Output
The total magnetization is 0.0 Bohr magnetons per cell. The crystal system is tetragonal. For the formation energy without anion corrections, the calculation gives 0.082 eV/atom. As for the space group: P4/mmm, No. 123.

Geometry as Quantum ESPRESSO input:
```
&SYSTEM
  ibrav = 0, nat = 5, ntyp = 4
/
ATOMIC_SPECIES
Be 9.01 Be.upf
Se 78.96 Se.upf
Y 88.91 Y.upf
Cu 63.55 Cu.upf
CELL_PARAMETERS angstrom
4.402 0.000 0.000
0.000 4.402 0.000
0.000 0.000 4.927
ATOMIC_POSITIONS angstrom
Be 0.000 0.000 0.000
Se 0.000 2.201 0.000
Se 2.201 0.000 0.000
Y 0.000 0.000 2.464
Cu 2.201 2.201 2.464
```

---

No. 3
VASP calculation (GGA-PBEsol) on a geometry-optimized BeCuSi4 structure. Values from VASP.

Output
The total magnetization is 0.0 Bohr magnetons per cell. The crystal system is cubic. For the formation energy without anion corrections, the calculation gives 0.608 eV/atom. As for the space group: F-43m, No. 216.

Geometry as Quantum ESPRESSO input:
```
&SYSTEM
  ibrav = 0, nat = 6, ntyp = 3
/
ATOMIC_SPECIES
Si 28.09 Si.upf
Be 9.01 Be.upf
Cu 63.55 Cu.upf
CELL_PARAMETERS angstrom
4.891 0.000 0.000
2.446 4.236 0.000
2.446 1.412 3.994
ATOMIC_POSITIONS angstrom
Si 3.669 2.118 1.498
Si 4.891 2.824 3.493
Si 4.891 4.235 1.498
Si 6.113 2.118 1.498
Be 7.337 4.236 2.995
Cu 0.000 0.000 0.000
```

---

No. 4
VASP calculation (GGA-PBEsol) on a geometry-optimized BeCu2SiTc structure. Values from VASP.

Output
The total magnetization is 0.0 Bohr magnetons per cell. The crystal system is tetragonal. For the formation energy without anion corrections, the calculation gives 0.481 eV/atom. As for the space group: P4/mmm, No. 123.

Geometry as Quantum ESPRESSO input:
```
&SYSTEM
  ibrav = 0, nat = 5, ntyp = 4
/
ATOMIC_SPECIES
Si 28.09 Si.upf
Be 9.01 Be.upf
Cu 63.55 Cu.upf
Tc 98.00 Tc.upf
CELL_PARAMETERS angstrom
3.862 0.000 0.000
0.000 3.862 0.000
0.000 0.000 4.146
ATOMIC_POSITIONS angstrom
Si 1.931 1.931 2.073
Be 0.000 0.000 0.000
Cu 0.000 1.931 0.000
Cu 1.931 0.000 0.000
Tc 0.000 0.000 2.073
```

---

No. 5
VASP calculation (GGA-PBEsol) on a geometry-optimized BeCuSn3 structure. Values from VASP.

Output
The total magnetization is 0.0 Bohr magnetons per cell. The crystal system is cubic. Its uncorrected energy is -3.634 eV/atom. As for the space group: Pm-3m, No. 221.

Geometry as Quantum ESPRESSO input:
```
&SYSTEM
  ibrav = 0, nat = 5, ntyp = 3
/
ATOMIC_SPECIES
Sn 118.71 Sn.upf
Cu 63.55 Cu.upf
Be 9.01 Be.upf
CELL_PARAMETERS angstrom
4.799 0.000 0.000
0.000 4.799 0.000
0.000 0.000 4.799
ATOMIC_POSITIONS angstrom
Sn 2.400 0.000 0.000
Sn 0.000 0.000 2.400
Sn 0.000 2.400 0.000
Cu 2.400 2.400 2.400
Be 0.000 0.000 0.000
```

---

No. 6
VASP calculation (GGA-PBEsol) on a geometry-optimized TiBe2CuSn structure. Values from VASP.

Output
The total magnetization is 0.0 Bohr magnetons per cell. The crystal system is tetragonal. Its uncorrected energy is -4.432 eV/atom. As for the space group: P4/mmm, No. 123.

Geometry as Quantum ESPRESSO input:
```
&SYSTEM
  ibrav = 0, nat = 5, ntyp = 4
/
ATOMIC_SPECIES
Cu 63.55 Cu.upf
Be 9.01 Be.upf
Sn 118.71 Sn.upf
Ti 47.87 Ti.upf
CELL_PARAMETERS angstrom
-3.512 -1.722 -1.048
2.007 -2.785 -2.148
0.228 -2.826 3.877
ATOMIC_POSITIONS angstrom
Cu 0.000 0.000 0.000
Be 1.003 -1.393 -1.074
Be -1.756 -0.861 -0.524
Sn 0.114 -1.413 1.939
Ti -0.638 -3.666 0.341
```